Entry 1:
A plane-wave DFT calculation with PBE was carried out for a geometry-optimized NaGa2Ir2 structure.

Properties
The formation energy comes out at -164 kJ/mol of formula units. As for the energy: -0.3939 Ry per atom. The energy relative to the lowest polymorph listed for this composition comes out at 0.000 eV/f.u. The crystal system is tetragonal.

Structure (POSCAR):
```
NaGa2Ir2
1.0
-1.195 -6.435 -3.552
2.917 -3.719 5.755
-2.606 -0.181 1.204
Ga Ir Na
4 4 2
direct
0.356 0.856 0.000
0.856 0.644 0.000
0.644 0.144 0.000
0.144 0.356 0.000
0.150 0.650 0.500
0.650 0.850 0.500
0.350 0.150 0.500
0.850 0.350 0.500
0.000 0.000 0.000
0.500 0.500 0.000
```

---

Entry 2:
A plane-wave DFT calculation with PBE was carried out for a geometry-optimized Sm2IBr structure.

Properties
As for the energy: -0.2756 Ry per atom. The energy relative to the lowest polymorph listed for this composition comes out at 1.497 eV/f.u. The crystal system is trigonal.

Structure (POSCAR):
```
Sm2IBr
1.0
-0.529 -3.350 3.407
3.856 -1.725 2.295
0.359 4.259 7.636
Sm I Br
2 1 1
direct
0.115 0.115 0.655
0.885 0.885 0.345
0.500 0.500 0.500
0.000 0.000 0.000
```

---

Entry 3:
A plane-wave DFT calculation with PBE was carried out for a geometry-optimized La2Pr4Hg3N2 structure.

Properties
As for the energy: -0.3608 Ry per atom. The crystal system is tetragonal.

Structure (POSCAR):
```
La2Pr4Hg3N2
1.0
5.033 0.000 0.000
0.000 5.033 0.000
-2.516 -2.516 12.347
N Pr Hg La
2 4 3 2
direct
0.607 0.607 0.214
0.393 0.393 0.786
0.916 0.416 0.832
0.584 0.084 0.168
0.084 0.584 0.168
0.416 0.916 0.832
0.171 0.171 0.342
0.829 0.829 0.658
0.000 0.000 0.000
0.303 0.303 0.606
0.697 0.697 0.394
```